## FeAgPt (PBE-GGA)

Data for crystalline FeAgPt at its relaxed geometry.

Computed properties:
Uncorrected energy (eV for the cell shown): -68.87
DFT formation energy (eV/f.u.): 0.1
Excess energy over the best structure of this formula in the dataset (kcal/mol of atoms): 1.93
SG: Cm

Cell lengths 7.9114, 2.7886, 9.1848 Å; angles 90.00, 114.20, 90.00 degrees
Element x y z (fractional)
Pt 0.3880 0.5000 0.9062
Pt 0.7063 0.5000 0.5815
Pt 0.3880 0.0000 0.4062
Pt 0.7063 0.0000 0.0815
Ag 0.0569 0.5000 0.2410
Ag 0.8881 0.0000 0.4149
Ag 0.0569 0.0000 0.7410
Ag 0.8881 0.5000 0.9149
Fe 0.5382 0.5000 0.2337
Fe 0.2605 0.5000 0.5907
Fe 0.5382 0.0000 0.7337
Fe 0.2605 0.0000 0.0907